Record 1
12
Lattice="2.809 0.000 0.000 -1.404 2.432 0.000 0.000 0.000 28.311" Properties=species:S:1:pos:R:3 comment="TcAgMo2, relaxed, DFT PBE" spacegroup="No. 160" m_tot_mub_per_atom=0.00 de_polymorph_mev_per_atom=104 rho_g_cm3=10.2 dos_at_fermi_per_ev_fu=5.4 ef_kj_per_mol_fu=146.0 pbc="T T T"
Tc 0.000 0.000 0.000
Tc 0.000 1.622 18.874
Tc 1.404 0.811 9.437
Ag 0.000 0.000 6.960
Ag 0.000 1.622 25.834
Ag 1.404 0.811 16.397
Mo 0.000 0.000 13.900
Mo 0.000 0.000 20.979
Mo 0.000 1.622 4.463
Mo 0.000 1.622 11.542
Mo 1.404 0.811 2.105
Mo 1.404 0.811 23.337

Record 2
12
Lattice="3.600 -6.232 0.000 3.600 6.232 0.000 -2.382 0.000 7.792" Properties=species:S:1:pos:R:3 comment="Sm6HgRu2Br3, relaxed, DFT PBE" spacegroup="No. 12" m_tot_mub_per_atom=0.00 rho_g_cm3=7.3 dos_at_fermi_per_ev_fu=6.1 total_energy_ev_per_atom=-5.1686 pbc="T T T"
Sm -0.110 2.288 6.224
Sm 0.955 0.000 1.560
Sm -0.110 -2.288 6.224
Sm 4.927 2.288 1.568
Sm 3.862 0.000 6.231
Sm 4.927 -2.288 1.568
Hg 3.600 0.000 0.000
Ru 3.600 4.154 0.000
Ru 3.600 -4.154 0.000
Br -1.191 0.000 3.896
Br 2.408 2.097 3.896
Br 2.408 -2.097 3.896

Record 3
11
Lattice="8.647 -3.866 0.000 8.647 3.866 0.000 -1.180 0.000 4.795" Properties=species:S:1:pos:R:3 comment="CsAu2S8, relaxed, DFT PBE" spacegroup="No. 12" m_tot_mub_per_atom=0.00 rho_g_cm3=4.1 dos_at_fermi_per_ev_fu=3.3 total_energy_ev_per_atom=-3.7433 pbc="T T T"
Cs 0.000 0.000 0.000
Au 5.168 0.000 2.059
Au 10.944 0.000 2.736
S 5.711 2.338 1.727
S 3.151 0.000 3.395
S 10.401 2.338 3.068
S 7.595 0.000 1.489
S 8.518 0.000 3.306
S 5.711 -2.338 1.727
S 12.962 0.000 1.400
S 10.401 -2.338 3.068

Record 4
10
Lattice="4.439 0.000 0.000 0.000 4.439 0.000 0.000 0.000 10.519" Properties=species:S:1:pos:R:3 comment="Ce2ZnGa3Au4, relaxed, DFT PBE" spacegroup="No. 115" m_tot_mub_per_atom=0.19 rho_g_cm3=10.8 dos_at_fermi_per_ev_fu=14.8 ef_kj_per_mol_fu=-544.8 pbc="T T T"
Ce 0.000 2.219 2.621
Ce 2.219 0.000 7.899
Zn 2.219 2.219 0.000
Ga 0.000 0.000 0.000
Ga 0.000 2.219 6.650
Ga 2.219 0.000 3.869
Au 0.000 0.000 5.260
Au 0.000 2.219 9.144
Au 2.219 0.000 1.376
Au 2.219 2.219 5.260

Record 5
10
Lattice="3.930 -8.571 0.000 3.930 8.571 0.000 0.000 0.000 6.124" Properties=species:S:1:pos:R:3 comment="CsCaTe2Au, relaxed, DFT PBE" spacegroup="No. 67" m_tot_mub_per_atom=0.00 rho_g_cm3=5.0 dos_at_fermi_per_ev_fu=0.0 total_energy_ev_per_atom=-3.5025 pbc="T T T"
Cs 3.930 4.286 4.746
Cs 3.930 -4.286 1.379
Ca 1.965 0.000 3.062
Ca 5.895 0.000 3.062
Te 3.930 6.571 1.699
Te 3.930 2.000 1.699
Te 3.930 -2.000 4.425
Te 3.930 -6.571 4.425
Au 0.000 0.000 0.000
Au 3.930 0.000 0.000

Record 6
16
Lattice="6.434 0.000 0.000 0.000 6.434 0.000 0.000 0.000 13.761" Properties=species:S:1:pos:R:3 comment="ZrSb2Se, relaxed, DFT PBE" spacegroup="No. 122" m_tot_mub_per_atom=0.00 rho_g_cm3=4.8 dos_at_fermi_per_ev_fu=3.1 total_energy_ev_per_atom=-4.8052 pbc="T T T"
Zr 0.000 0.000 0.000
Zr 0.000 3.217 3.440
Zr 3.217 0.000 10.321
Zr 3.217 3.217 6.881
Sb 1.567 1.609 1.720
Sb 1.609 4.784 5.161
Sb 1.609 4.867 12.041
Sb 1.650 1.609 8.601
Sb 4.784 4.826 8.601
Sb 4.826 1.567 12.041
Sb 4.826 1.650 5.161
Sb 4.867 4.826 1.720
Se 0.000 0.000 6.881
Se 0.000 3.217 10.321
Se 3.217 0.000 3.440
Se 3.217 3.217 0.000

Record 7
8
Lattice="2.419 1.396 7.913 -2.419 1.396 7.913 0.000 -2.793 7.913" Properties=species:S:1:pos:R:3 comment="HoEr2MgPd4, relaxed, DFT PBE" spacegroup="No. 166" m_tot_mub_per_atom=0.00 rho_g_cm3=9.8 dos_at_fermi_per_ev_fu=4.6 ef_kj_per_mol_fu=-671.2 pbc="T T T"
Ho 0.000 0.000 0.000
Er 0.000 0.000 5.830
Er 0.000 0.000 17.910
Mg 0.000 0.000 11.870
Pd 0.000 0.000 2.945
Pd 0.000 0.000 8.900
Pd 0.000 0.000 14.839
Pd 0.000 0.000 20.795

Record 8
12
Lattice="3.131 0.000 0.000 -1.566 2.712 0.000 0.000 0.000 28.988" Properties=species:S:1:pos:R:3 comment="LaTa2Os, relaxed, DFT PBE" spacegroup="No. 160" m_tot_mub_per_atom=0.00 de_polymorph_mev_per_atom=308 rho_g_cm3=14.0 dos_at_fermi_per_ev_fu=5.8 ef_kj_per_mol_fu=153.1 pbc="T T T"
La 0.000 0.000 0.000
La 0.000 1.808 19.325
La 1.566 0.904 9.663
Ta 0.000 0.000 6.763
Ta 0.000 0.000 14.152
Ta 0.000 1.808 4.490
Ta 0.000 1.808 26.088
Ta 1.566 0.904 16.426
Ta 1.566 0.904 23.815
Os 0.000 0.000 21.921
Os 0.000 1.808 12.258
Os 1.566 0.904 2.596